No. 1
# Ac2PrZn3In4 (PBE, relaxed)
# DOS(E_F) (states/eV per atom): 0.702
# E_tot (eV/atom): -3.10
data_Ac2PrZn3In4
_symmetry_space_group_name_H-M 'P 1'
_symmetry_Int_Tables_number 1
_cell_length_a 4.678
_cell_length_b 4.678
_cell_length_c 12.602
_cell_angle_alpha 90.00
_cell_angle_beta 90.00
_cell_angle_gamma 90.00
loop_
_symmetry_equiv_pos_as_xyz
'x,y,z'
loop_
_atom_site_label
_atom_site_fract_x
_atom_site_fract_y
_atom_site_fract_z
Ac1 0.000 0.500 0.226
Ac2 0.500 0.000 0.774
Pr1 0.000 0.000 0.500
Zn1 0.000 0.500 0.873
Zn2 0.500 0.000 0.127
Zn3 0.500 0.500 0.500
In1 0.000 0.000 0.000
In2 0.000 0.500 0.661
In3 0.500 0.000 0.339
In4 0.500 0.500 0.000

=====

No. 2
# Sr3Ru5 (PBE, relaxed)
# DOS(E_F) (states/eV per atom): 1.512
# E_tot (eV/atom): -5.58
data_Sr3Ru5
_symmetry_space_group_name_H-M 'P 1'
_symmetry_Int_Tables_number 1
_cell_length_a 7.121
_cell_length_b 9.650
_cell_length_c 4.721
_cell_angle_alpha 90.00
_cell_angle_beta 90.00
_cell_angle_gamma 90.00
loop_
_symmetry_equiv_pos_as_xyz
'x,y,z'
loop_
_atom_site_label
_atom_site_fract_x
_atom_site_fract_y
_atom_site_fract_z
Sr1 0.000 0.000 0.000
Sr2 0.000 0.231 0.500
Sr3 0.000 0.769 0.500
Sr4 0.500 0.269 0.500
Sr5 0.500 0.500 0.000
Sr6 0.500 0.731 0.500
Ru1 0.000 0.500 0.000
Ru2 0.180 0.500 0.500
Ru3 0.250 0.250 0.000
Ru4 0.250 0.750 0.000
Ru5 0.320 0.000 0.500
Ru6 0.500 0.000 0.000
Ru7 0.680 0.000 0.500
Ru8 0.750 0.250 0.000
Ru9 0.750 0.750 0.000
Ru10 0.820 0.500 0.500

=====

No. 3
# Sm3Tm2Th3 (PBE, relaxed)
# DOS(E_F) (states/eV per atom): 1.390
# E_tot (eV/atom): -5.62
data_Sm3Tm2Th3
_symmetry_space_group_name_H-M 'P 1'
_symmetry_Int_Tables_number 1
_cell_length_a 5.033
_cell_length_b 5.072
_cell_length_c 10.118
_cell_angle_alpha 90.00
_cell_angle_beta 90.00
_cell_angle_gamma 90.00
loop_
_symmetry_equiv_pos_as_xyz
'x,y,z'
loop_
_atom_site_label
_atom_site_fract_x
_atom_site_fract_y
_atom_site_fract_z
Sm1 0.000 0.000 0.000
Sm2 0.000 0.000 0.500
Sm3 0.500 0.500 0.000
Tm1 0.500 0.000 0.253
Tm2 0.500 0.000 0.747
Th1 0.000 0.500 0.252
Th2 0.000 0.500 0.748
Th3 0.500 0.500 0.500

=====

No. 4
# Mg2AlS (PBE, relaxed)
# Distance to the lowest polymorph of the same formula (eV/f.u.): 0.00
# Energy relative to the elements, uncorrected (eV per atom): -0.317
# DOS(E_F) (states/eV per atom): 0.316
# E_tot (eV/atom): -3.08
data_Mg2AlS
_symmetry_space_group_name_H-M 'P 1'
_symmetry_Int_Tables_number 1
_cell_length_a 7.446
_cell_length_b 7.446
_cell_length_c 6.018
_cell_angle_alpha 90.00
_cell_angle_beta 90.00
_cell_angle_gamma 90.00
loop_
_symmetry_equiv_pos_as_xyz
'x,y,z'
loop_
_atom_site_label
_atom_site_fract_x
_atom_site_fract_y
_atom_site_fract_z
Mg1 0.202 0.250 0.125
Mg2 0.250 0.702 0.375
Mg3 0.250 0.798 0.875
Mg4 0.298 0.250 0.625
Mg5 0.702 0.750 0.625
Mg6 0.750 0.202 0.875
Mg7 0.750 0.298 0.375
Mg8 0.798 0.750 0.125
Al1 0.000 0.000 0.500
Al2 0.000 0.500 0.750
Al3 0.500 0.000 0.250
Al4 0.500 0.500 0.000
S1 0.000 0.000 0.000
S2 0.000 0.500 0.250
S3 0.500 0.000 0.750
S4 0.500 0.500 0.500

=====

No. 5
# TiV2AgRu (PBE, relaxed)
# DOS(E_F) (states/eV per atom): 1.441
# E_tot (eV/atom): -6.83
data_TiV2AgRu
_symmetry_space_group_name_H-M 'P 1'
_symmetry_Int_Tables_number 1
_cell_length_a 4.603
_cell_length_b 4.603
_cell_length_c 4.686
_cell_angle_alpha 90.00
_cell_angle_beta 90.00
_cell_angle_gamma 90.00
loop_
_symmetry_equiv_pos_as_xyz
'x,y,z'
loop_
_atom_site_label
_atom_site_fract_x
_atom_site_fract_y
_atom_site_fract_z
Ti1 0.000 0.000 0.000
V1 0.000 0.500 0.500
V2 0.500 0.000 0.500
Ag1 0.500 0.500 0.000
Ru1 0.000 0.000 0.500

=====

No. 6
# HoEr6Th12 (PBE, relaxed)
# DOS(E_F) (states/eV per atom): 1.586
# E_tot (eV/atom): -6.13
data_HoEr6Th12
_symmetry_space_group_name_H-M 'P 1'
_symmetry_Int_Tables_number 1
_cell_length_a 8.704
_cell_length_b 8.704
_cell_length_c 8.704
_cell_angle_alpha 99.66
_cell_angle_beta 99.66
_cell_angle_gamma 99.66
loop_
_symmetry_equiv_pos_as_xyz
'x,y,z'
loop_
_atom_site_label
_atom_site_fract_x
_atom_site_fract_y
_atom_site_fract_z
Ho1 0.000 0.000 0.000
Er1 0.099 0.099 0.662
Er2 0.099 0.662 0.099
Er3 0.338 0.901 0.901
Er4 0.662 0.099 0.099
Er5 0.901 0.338 0.901
Er6 0.901 0.901 0.338
Th1 0.083 0.349 0.349
Th2 0.246 0.500 0.754
Th3 0.246 0.754 0.500
Th4 0.349 0.083 0.349
Th5 0.349 0.349 0.083
Th6 0.500 0.246 0.754
Th7 0.500 0.754 0.246
Th8 0.651 0.651 0.917
Th9 0.651 0.917 0.651
Th10 0.754 0.246 0.500
Th11 0.754 0.500 0.246
Th12 0.917 0.651 0.651

=====

No. 7
# CaMgSi2 (PBE, relaxed)
# Energy relative to the elements, uncorrected (eV per atom): -0.050
# DOS(E_F) (states/eV per atom): 0.406
# E_tot (eV/atom): -3.66
data_CaMgSi2
_symmetry_space_group_name_H-M 'P 1'
_symmetry_Int_Tables_number 1
_cell_length_a 4.383
_cell_length_b 4.383
_cell_length_c 8.282
_cell_angle_alpha 90.00
_cell_angle_beta 90.00
_cell_angle_gamma 90.00
loop_
_symmetry_equiv_pos_as_xyz
'x,y,z'
loop_
_atom_site_label
_atom_site_fract_x
_atom_site_fract_y
_atom_site_fract_z
Ca1 0.000 0.000 0.000
Ca2 0.500 0.500 0.500
Mg1 0.000 0.000 0.500
Mg2 0.500 0.500 0.000
Si1 0.000 0.500 0.250
Si2 0.000 0.500 0.750
Si3 0.500 0.000 0.250
Si4 0.500 0.000 0.750

=====

No. 8
# Tb4Pm6Ho (PBE, relaxed)
# Distance to the lowest polymorph of the same formula (eV/f.u.): 0.00
# DOS(E_F) (states/eV per atom): 1.494
# E_tot (eV/atom): -4.52
data_Tb4Pm6Ho
_symmetry_space_group_name_H-M 'P 1'
_symmetry_Int_Tables_number 1
_cell_length_a 6.567
_cell_length_b 6.567
_cell_length_c 9.049
_cell_angle_alpha 101.20
_cell_angle_beta 101.20
_cell_angle_gamma 92.00
loop_
_symmetry_equiv_pos_as_xyz
'x,y,z'
loop_
_atom_site_label
_atom_site_fract_x
_atom_site_fract_y
_atom_site_fract_z
Tb1 0.000 0.000 0.000
Tb2 0.246 0.858 0.389
Tb3 0.617 0.617 0.799
Tb4 0.858 0.246 0.389
Pm1 0.095 0.466 0.782
Pm2 0.373 0.373 0.475
Pm3 0.466 0.095 0.782
Pm4 0.524 0.889 0.118
Pm5 0.788 0.788 0.518
Pm6 0.889 0.524 0.118
Ho1 0.393 0.393 0.136